Record 1
{
  "formula": "Cd3Pb13",
  "functional": "PBE",
  "state": "optimized geometry",
  "lattice": [[7.048, 0.000, 0.000], [0.000, 5.760, 5.947], [0.000, -5.760, 5.947]],
  "species": ["Cd", "Cd", "Cd", "Pb", "Pb", "Pb", "Pb", "Pb", "Pb", "Pb", "Pb", "Pb", "Pb", "Pb", "Pb", "Pb"],
  "frac_coords": [[0.000, 0.000, 0.000], [0.244, 0.241, 0.241], [0.756, 0.241, 0.241], [0.000, 0.401, 0.922], [0.000, 0.486, 0.486], [0.000, 0.922, 0.401], [0.245, 0.742, 0.742], [0.248, 0.158, 0.661], [0.248, 0.661, 0.158], [0.500, 0.404, 0.923], [0.500, 0.487, 0.487], [0.500, 0.923, 0.404], [0.500, 0.996, 0.996], [0.752, 0.158, 0.661], [0.752, 0.661, 0.158], [0.755, 0.742, 0.742]],
  "e_tot_ev_per_cell": -50.4
}

=====

Record 2
{
  "formula": "CdPb6",
  "functional": "PBE",
  "state": "optimized geometry",
  "lattice": [[2.825, 1.631, 7.743], [-2.825, 1.631, 7.743], [0.000, -3.262, 7.743]],
  "species": ["Cd", "Pb", "Pb", "Pb", "Pb", "Pb", "Pb"],
  "frac_coords": [[0.000, 0.000, 0.000], [0.138, 0.138, 0.138], [0.283, 0.283, 0.283], [0.427, 0.427, 0.427], [0.573, 0.573, 0.573], [0.717, 0.717, 0.717], [0.862, 0.862, 0.862]],
  "relative_energy_ev_per_atom": 0.000
}

=====

Record 3
{
  "formula": "Cd5Pb",
  "functional": "PBE",
  "state": "optimized geometry",
  "lattice": [[5.314, 0.000, 0.000], [0.000, 1.707, 8.312], [0.000, -1.707, 8.312]],
  "species": ["Cd", "Cd", "Cd", "Cd", "Cd", "Pb"],
  "frac_coords": [[0.000, 0.000, 0.000], [0.000, 0.315, 0.315], [0.000, 0.658, 0.658], [0.500, 0.210, 0.210], [0.500, 0.556, 0.556], [0.500, 0.886, 0.886]],
  "relative_energy_ev_per_atom": 0.013
}

=====

Record 4
{
  "formula": "CdPb",
  "functional": "PBE",
  "state": "optimized geometry",
  "lattice": [[3.390, 0.000, 0.000], [-1.695, 2.936, 0.000], [0.000, 0.000, 5.666]],
  "species": ["Cd", "Pb"],
  "frac_coords": [[0.000, 0.000, 0.000], [0.667, 0.333, 0.500]],
  "e_tot_ev_per_cell": -4.5
}

=====

Record 5
{
  "formula": "CdPb3",
  "functional": "PBE",
  "state": "optimized geometry",
  "lattice": [[4.945, -5.037, 0.000], [4.945, 5.037, 0.000], [0.000, 0.000, 4.779]],
  "species": ["Cd", "Cd", "Pb", "Pb", "Pb", "Pb", "Pb", "Pb"],
  "frac_coords": [[0.125, 0.875, 0.750], [0.875, 0.125, 0.250], [0.111, 0.358, 0.750], [0.358, 0.111, 0.250], [0.373, 0.627, 0.250], [0.627, 0.373, 0.750], [0.642, 0.889, 0.750], [0.889, 0.642, 0.250]],
  "e_tot_ev_per_cell": -23.9
}

=====

Record 6
{
  "formula": "CdPb3",
  "functional": "PBE",
  "state": "optimized geometry",
  "lattice": [[3.375, -5.065, 0.000], [3.375, 5.065, 0.000], [0.000, 0.000, 3.489]],
  "species": ["Cd", "Pb", "Pb", "Pb"],
  "frac_coords": [[0.000, 0.000, 0.000], [0.000, 0.500, 0.500], [0.500, 0.000, 0.500], [0.500, 0.500, 0.000]],
  "e_tot_ev_per_cell": -11.9
}

=====

Record 7
{
  "formula": "Cd2Pb",
  "functional": "PBE",
  "state": "optimized geometry",
  "lattice": [[5.524, 0.000, 0.000], [-2.762, 4.784, 0.000], [0.000, 0.000, 6.085]],
  "species": ["Cd", "Cd", "Cd", "Cd", "Pb", "Pb"],
  "frac_coords": [[0.000, 0.000, 0.000], [0.000, 0.000, 0.500], [0.333, 0.667, 0.250], [0.667, 0.333, 0.750], [0.333, 0.667, 0.750], [0.667, 0.333, 0.250]],
  "e_tot_ev_per_cell": -10.4
}

=====

Record 8
{
  "formula": "Cd2Pb",
  "functional": "PBE",
  "state": "optimized geometry",
  "lattice": [[3.374, -3.258, 0.000], [3.374, 3.258, 0.000], [-2.912, 0.000, 14.239]],
  "species": ["Cd", "Cd", "Cd", "Cd", "Cd", "Cd", "Cd", "Cd", "Pb", "Pb", "Pb", "Pb"],
  "frac_coords": [[0.039, 0.798, 0.591], [0.117, 0.385, 0.750], [0.202, 0.961, 0.909], [0.385, 0.117, 0.250], [0.615, 0.883, 0.750], [0.798, 0.039, 0.091], [0.883, 0.615, 0.250], [0.961, 0.202, 0.409], [0.295, 0.538, 0.088], [0.462, 0.705, 0.412], [0.538, 0.295, 0.588], [0.705, 0.462, 0.912]],
  "e_tot_ev_per_cell": -21.6
}

=====

| no. | Fermi-level density of states (states/eV per cell) |
| --- | --- |
| 1 | 6.70 |
| 2 | 4.44 |
| 3 | 1.72 |
| 4 | 1.40 |
| 5 | 4.34 |
| 6 | 1.58 |
| 7 | 2.47 |
| 8 | 4.05 |